1.
The following is a SCAN calculation of a PBEsol-optimized structure of Re2C, from Alexandria via LeMat-Bulk.

The structure belongs to space group Fm-3m (No. 225); the cell edges are 5.270, 5.270 and 5.270 Å and the angles 90.00°, 90.00° and 90.00°. The distinct sites, in fractional coordinates, are Re at (0.250, 0.250, 0.250) and C at (0.000, 0.000, 0.000).

The formation energy is 1350 meV per atom. For the energy above the most stable polymorph in this dataset, the calculation gives 4.11 eV per formula unit. Its total energy is -592.98 eV per cell. The calculation puts the volume at 146.4 Å³ per cell. The crystal system is cubic. For the density, the calculation gives 17.4 g cm⁻³.


2.
The following is a SCAN calculation of a PBEsol-optimized structure of ReSn2RhC, from Alexandria via LeMat-Bulk.

The structure belongs to space group P4/mmm (No. 123); the cell edges are 5.127, 5.127 and 3.850 Å and the angles 90.00°, 90.00° and 90.00°. The distinct sites, in fractional coordinates, are Re at (0.000, 0.000, 0.000), Sn at (0.000, 0.500, 0.000), Rh at (0.500, 0.500, 0.500) and C at (0.000, 0.000, 0.500).

The formation energy is 1150 meV per atom. Its total energy is -181.06 eV per cell. The calculation puts the volume at 101.2 Å³ per cell. The crystal system is tetragonal. For the density, the calculation gives 8.8 g cm⁻³.


3.
The following is a SCAN calculation of a PBEsol-optimized structure of ReCS3, from Alexandria via LeMat-Bulk.

The structure belongs to space group Pm-3m (No. 221); the cell edges are 3.920, 3.920 and 3.920 Å and the angles 90.00°, 90.00° and 90.00°. The distinct sites, in fractional coordinates, are Re at (0.000, 0.000, 0.000), C at (0.500, 0.500, 0.500) and S at (0.000, 0.500, 0.500).

Its total energy is -101.95 eV per cell. The calculation puts the raw formation energy at 1.625 eV/atom. The calculation puts the volume at 60.3 Å³ per cell. The crystal system is cubic. For the density, the calculation gives 8.1 g cm⁻³.


4.
The following is a SCAN calculation of a PBEsol-optimized structure of ReC3S, from Alexandria via LeMat-Bulk.

The structure belongs to space group Pm-3m (No. 221); the cell edges are 4.040, 4.040 and 4.040 Å and the angles 90.00°, 90.00° and 90.00°. The distinct sites, in fractional coordinates, are Re at (0.000, 0.000, 0.000), C at (0.000, 0.000, 0.500) and S at (0.500, 0.500, 0.500).

Its total energy is -99.92 eV per cell. The calculation puts the raw formation energy at 2.221 eV/atom. The calculation puts the volume at 65.9 Å³ per cell. The crystal system is cubic. For the density, the calculation gives 6.4 g cm⁻³.


What did the third record say?
The following is a SCAN calculation of a PBEsol-optimized structure of ReCS3, from Alexandria via LeMat-Bulk.

The structure belongs to space group Pm-3m (No. 221); the cell edges are 3.920, 3.920 and 3.920 Å and the angles 90.00°, 90.00° and 90.00°. The distinct sites, in fractional coordinates, are Re at (0.000, 0.000, 0.000), C at (0.500, 0.500, 0.500) and S at (0.000, 0.500, 0.500).

Its total energy is -101.95 eV per cell. The calculation puts the raw formation energy at 1.625 eV/atom. The calculation puts the volume at 60.3 Å³ per cell. The crystal system is cubic. For the density, the calculation gives 8.1 g cm⁻³.


- Number 1 is which compound?
  Re2C